[1]
Material: SrVP2O
Method: DFT, PBE with a Hubbard U
State: relaxed

a = 4.8716 Å, b = 4.8716 Å, c = 3.7815 Å
α = 90.00°, β = 90.00°, γ = 90.00°
Element x y z (fractional)
Sr 0.0000 0.0000 0.0000
V 0.5000 0.5000 0.5000
P 0.0000 0.5000 0.5000
P 0.5000 0.0000 0.5000
O 0.5000 0.5000 0.0000

electronic total energy = -5.617 eV/atom
M_tot = 0.00 Bohr magnetons per cell
SG = P4/mmm (123)
D(E_F) = 3.11 states/eV/cell

***

[2]
Material: SrVP2O
Method: DFT, PBE with a Hubbard U
State: relaxed

a = 5.4826 Å, b = 5.4826 Å, c = 4.3147 Å
α = 90.00°, β = 90.00°, γ = 90.00°
Element x y z (fractional)
Sr 0.0000 0.0000 0.0000
V 0.5000 0.5000 0.5000
P 0.0000 0.5000 0.0000
P 0.5000 0.0000 0.0000
O 0.0000 0.0000 0.5000

electronic total energy = -3.901 eV/atom
M_tot = 3.55 Bohr magnetons per cell
SG = P4/mmm (123)
D(E_F) = 2.61 states/eV/cell

***

[3]
Material: SrVP2O8
Method: DFT, PBE with a Hubbard U
State: relaxed

a = 8.2158 Å, b = 8.2158 Å, c = 8.2158 Å
α = 33.63°, β = 33.63°, γ = 33.63°
Element x y z (fractional)
Sr 0.0000 0.0000 0.0000
V 0.5000 0.5000 0.5000
P 0.2420 0.2420 0.2420
P 0.7580 0.7580 0.7580
O 0.1071 0.4915 0.7390
O 0.2610 0.5085 0.8929
O 0.3079 0.3079 0.3079
O 0.4915 0.7390 0.1071
O 0.5085 0.8929 0.2610
O 0.6921 0.6921 0.6921
O 0.7390 0.1071 0.4915
O 0.8929 0.2610 0.5085

electronic total energy = -7.275 eV/atom
M_tot = 0.95 Bohr magnetons per cell
SG = R32 (155)

***

[4]
Material: SrVPO6
Method: DFT, PBE with a Hubbard U
State: relaxed

a = 5.6197 Å, b = 9.8790 Å, c = 8.5905 Å
α = 90.00°, β = 91.92°, γ = 90.00°
Element x y z (fractional)
Sr 0.1352 0.1883 0.4298
Sr 0.1352 0.3117 0.9298
Sr 0.8648 0.6883 0.0702
Sr 0.8648 0.8117 0.5702
V 0.3448 0.5915 0.4120
V 0.3448 0.9085 0.9120
V 0.6552 0.0915 0.0880
V 0.6552 0.4085 0.5880
P 0.3369 0.6051 0.7866
P 0.3369 0.8949 0.2866
P 0.6631 0.1051 0.7134
P 0.6631 0.3949 0.2134
O 0.0858 0.6378 0.3289
O 0.0858 0.8622 0.8289
O 0.1243 0.5738 0.8859
O 0.1243 0.9262 0.3859
O 0.2545 0.6587 0.6204
O 0.2545 0.8413 0.1204
O 0.3179 0.0766 0.9660
O 0.3179 0.4234 0.4660
O 0.4752 0.0329 0.2715
O 0.4752 0.4671 0.7715
O 0.4952 0.2145 0.6372
O 0.4952 0.2855 0.1372
O 0.5048 0.7145 0.8628
O 0.5048 0.7855 0.3628
O 0.5248 0.5329 0.2285
O 0.5248 0.9671 0.7285
O 0.6821 0.5766 0.5340
O 0.6821 0.9234 0.0340
O 0.7455 0.1587 0.8796
O 0.7455 0.3413 0.3796
O 0.8757 0.0738 0.6141
O 0.8757 0.4262 0.1141
O 0.9142 0.1378 0.1711
O 0.9142 0.3622 0.6711

electronic total energy = -7.331 eV/atom
M_tot = 0.00 Bohr magnetons per cell
SG = P2_1/c (14)
D(E_F) = 0.00 states/eV/cell

***

[5]
Material: SrVPO6
Method: DFT, PBE with a Hubbard U
State: relaxed

a = 4.8681 Å, b = 4.8681 Å, c = 5.3939 Å
α = 90.00°, β = 90.00°, γ = 120.00°
Element x y z (fractional)
Sr 0.0000 0.0000 0.0000
V 0.3333 0.6667 0.5000
P 0.6667 0.3333 0.5000
O 0.3996 0.0262 0.6853
O 0.3996 0.3734 0.3147
O 0.6266 0.0262 0.3147
O 0.6266 0.6004 0.6853
O 0.9738 0.3734 0.6853
O 0.9738 0.6004 0.3147

electronic total energy = -7.159 eV/atom
M_tot = 0.00 Bohr magnetons per cell
SG = P312 (149)
D(E_F) = 0.00 states/eV/cell

***

[6]
Material: SrVP2O8
Method: DFT, PBE with a Hubbard U
State: relaxed

a = 6.0153 Å, b = 7.3041 Å, c = 8.8837 Å
α = 107.73°, β = 102.83°, γ = 100.91°
Element x y z (fractional)
Sr 0.2475 0.2732 0.0529
Sr 0.7525 0.7268 0.9471
V 0.2941 0.6922 0.4582
V 0.7059 0.3078 0.5419
P 0.1545 0.4778 0.7034
P 0.4019 0.9138 0.2188
P 0.5981 0.0862 0.7812
P 0.8455 0.5222 0.2966
O 0.0023 0.2575 0.5747
O 0.0557 0.4236 0.3001
O 0.1702 0.9166 0.1087
O 0.2855 0.4873 0.8718
O 0.3384 0.5657 0.6249
O 0.3600 0.7179 0.2686
O 0.3899 0.0715 0.8479
O 0.4603 0.0927 0.3902
O 0.5397 0.9073 0.6098
O 0.6101 0.9285 0.1521
O 0.6400 0.2821 0.7314
O 0.6616 0.4343 0.3751
O 0.7145 0.5127 0.1282
O 0.8298 0.0834 0.8913
O 0.9443 0.5764 0.6999
O 0.9977 0.7425 0.4253

electronic total energy = -7.317 eV/atom
M_tot = 1.90 Bohr magnetons per cell
SG = P-1 (2)
D(E_F) = 0.00 states/eV/cell

***

[7]
Material: Sr2VP3O12
Method: DFT, PBE with a Hubbard U
State: relaxed

a = 8.2779 Å, b = 8.2779 Å, c = 9.1178 Å
α = 113.49°, β = 113.49°, γ = 96.81°
Element x y z (fractional)
Sr 0.0580 0.6542 0.8216
Sr 0.3458 0.9420 0.6784
Sr 0.6542 0.0580 0.3216
Sr 0.9420 0.3458 0.1784
V 0.5000 0.5000 0.0000
V 0.5000 0.5000 0.5000
P 0.1811 0.3009 0.5562
P 0.2996 0.7004 0.2500
P 0.3009 0.1811 0.0562
P 0.6991 0.8189 0.9438
P 0.7004 0.2996 0.7500
P 0.8189 0.6991 0.4438
O 0.0204 0.6963 0.5199
O 0.0965 0.6243 0.1869
O 0.1187 0.2077 0.0337
O 0.2077 0.1187 0.5337
O 0.2577 0.3823 0.4540
O 0.3009 0.4575 0.7679
O 0.3037 0.9796 0.9801
O 0.3519 0.5933 0.0957
O 0.3757 0.9035 0.3131
O 0.3823 0.2577 0.9540
O 0.4067 0.6481 0.4043
O 0.4575 0.3009 0.2679
O 0.5425 0.6991 0.7321
O 0.5933 0.3519 0.5957
O 0.6177 0.7423 0.0460
O 0.6243 0.0965 0.6869
O 0.6481 0.4067 0.9043
O 0.6963 0.0204 0.0199
O 0.6991 0.5425 0.2321
O 0.7423 0.6177 0.5460
O 0.7923 0.8813 0.4663
O 0.8813 0.7923 0.9663
O 0.9035 0.3757 0.8131
O 0.9796 0.3037 0.4801

electronic total energy = -7.211 eV/atom
M_tot = 0.00 Bohr magnetons per cell
SG = C2/c (15)

***

[8]
Material: SrV2PO8
Method: DFT, PBE with a Hubbard U
State: relaxed

a = 5.5401 Å, b = 5.5401 Å, c = 6.1959 Å
α = 90.00°, β = 90.00°, γ = 120.00°
Element x y z (fractional)
Sr 0.0000 0.0000 0.0000
V 0.3333 0.6667 0.5792
V 0.6667 0.3333 0.4208
P 0.0000 0.0000 0.5000
O 0.1467 0.2935 0.6648
O 0.1467 0.8533 0.6648
O 0.2935 0.1467 0.3352
O 0.3333 0.6667 0.3158
O 0.6667 0.3333 0.6842
O 0.7065 0.8533 0.6648
O 0.8533 0.1467 0.3352
O 0.8533 0.7065 0.3352

electronic total energy = -7.003 eV/atom
M_tot = 1.00 Bohr magnetons per cell
SG = P-3m1 (164)
D(E_F) = 4.71 states/eV/cell

***

[9]
Material: SrVZnP2O8
Method: DFT, PBE with a Hubbard U
State: relaxed

a = 5.4319 Å, b = 7.8076 Å, c = 10.3222 Å
α = 73.55°, β = 85.00°, γ = 75.30°
Element x y z (fractional)
Sr 0.1953 0.2042 0.0045
Sr 0.8047 0.7958 0.9955
V 0.1139 0.7340 0.3369
V 0.8861 0.2660 0.6631
Zn 0.0398 0.5992 0.6936
Zn 0.9602 0.4008 0.3064
P 0.2781 0.9267 0.7856
P 0.4630 0.4918 0.1560
P 0.5370 0.5082 0.8440
P 0.7219 0.0733 0.2144
O 0.0307 0.9975 0.2354
O 0.0458 0.7164 0.5053
O 0.1057 0.3268 0.7539
O 0.2420 0.3896 0.1597
O 0.2774 0.6878 0.7940
O 0.3087 0.9054 0.9410
O 0.4057 0.5672 0.2898
O 0.4578 0.9303 0.5168
O 0.5422 0.0697 0.4832
O 0.5943 0.4328 0.7102
O 0.6913 0.0946 0.0590
O 0.7226 0.3122 0.2060
O 0.7580 0.6104 0.8403
O 0.8943 0.6732 0.2461
O 0.9542 0.2836 0.4947
O 0.9693 0.0025 0.7646

electronic total energy = -6.418 eV/atom
M_tot = 3.96 Bohr magnetons per cell
SG = P-1 (2)

***

[10]
Material: SrVZnP2O8
Method: DFT, PBE with a Hubbard U
State: relaxed

a = 5.5451 Å, b = 7.0079 Å, c = 9.4999 Å
α = 107.36°, β = 105.80°, γ = 98.17°
Element x y z (fractional)
Sr 0.1973 0.2526 0.4564
Sr 0.8027 0.7474 0.5436
V 0.0778 0.7865 0.9364
V 0.9222 0.2135 0.0636
Zn 0.3489 0.2344 0.8558
Zn 0.6511 0.7656 0.1442
P 0.1618 0.6929 0.2720
P 0.4639 0.7795 0.7994
P 0.5361 0.2205 0.2006
P 0.8382 0.3071 0.7280
O 0.0262 0.3060 0.8870
O 0.0964 0.4737 0.2766
O 0.1064 0.8520 0.4036
O 0.2541 0.0836 0.1336
O 0.2609 0.9179 0.7980
O 0.4067 0.6304 0.6347
O 0.4247 0.6738 0.9200
O 0.4510 0.7530 0.2839
O 0.5490 0.2470 0.7161
O 0.5753 0.3262 0.0800
O 0.5933 0.3696 0.3653
O 0.7391 0.0821 0.2020
O 0.7459 0.9164 0.8664
O 0.8936 0.1480 0.5964
O 0.9036 0.5263 0.7234
O 0.9738 0.6940 0.1130

electronic total energy = -6.995 eV/atom
M_tot = 6.00 Bohr magnetons per cell
SG = P-1 (2)
D(E_F) = 0.00 states/eV/cell

***

Going through the records in order, we get volume values of 89.7; 129.7; 151.5; 476.6; 110.7; 348.4; 496.0; 164.7; 406.0; 328.9 Å³ per cell.